(1)
Compound: ZrNpU
Source: Alexandria via LeMat-Bulk
Functional: PBE
Structure: optimized geometry

a = 3.4066 Å, b = 3.4066 Å, c = 6.0220 Å
α = 106.43°, β = 106.43°, γ = 90.00°
Closest atoms and distances in Å follow each position.
Fractional coordinates of all 3 atoms:
1 Np 0.9163 0.9163 0.8326  4 U 2.64
2 U 0.3192 0.3192 0.6384  4 Np 2.64
3 Zr 0.6145 0.6145 0.2290  5 Np 3.25-3.33, 5 U 3.26-3.30, 4 Zr 3.41

Output
D(E_F): 8.08 states/eV/f.u.
Formation enthalpy at 0 K: 0.22 eV per atom
Symmetry: I4mm, No. 107
Magnetic moment: 0.350 μB/atom


(2)
Compound: NpV3
Source: Alexandria via LeMat-Bulk
Functional: PBE
Structure: optimized geometry

a = 3.0649 Å, b = 4.4222 Å, c = 4.4265 Å
α = 90.00°, β = 90.00°, γ = 90.00°
Closest atoms and distances in Å follow each position.
Fractional coordinates of all 4 atoms:
1 Np 0.0000 0.0835 0.0000  8 V 2.69
2 V 0.5000 0.5836 0.0000  4 Np 2.69, 4 V 2.69
3 V 0.5000 0.0830 0.5000  4 V 2.69, 4 Np 2.69
4 V 0.0000 0.5833 0.5000  8 V 2.69

Output
D(E_F): 7.37 states/eV/f.u.
Formation enthalpy at 0 K: 0.28 eV per atom
Symmetry: P4/mmm, No. 123
Magnetic moment: 0.579 μB/atom


(3)
Compound: NpV3
Source: Alexandria via LeMat-Bulk
Functional: PBE
Structure: optimized geometry

a = 4.3870 Å, b = 4.3870 Å, c = 4.3870 Å
α = 60.00°, β = 60.00°, γ = 60.00°
Closest atoms and distances in Å follow each position.
Fractional coordinates of all 4 atoms:
1 Np 0.5000 0.5000 0.5000  8 V 2.69
2 V 0.0000 0.0000 0.0000  8 V 2.69
3 V 0.7500 0.7500 0.7500  4 V 2.69, 4 Np 2.69
4 V 0.2500 0.2500 0.2500  4 Np 2.69, 4 V 2.69

Output
D(E_F): 6.57 states/eV/f.u.
Formation enthalpy at 0 K: 0.23 eV per atom
Symmetry: Fm-3m, No. 225
Magnetic moment: 0.374 μB/atom


(4)
Compound: NpV5
Source: Alexandria via LeMat-Bulk
Functional: PBE
Structure: optimized geometry

a = 3.0391 Å, b = 4.4039 Å, c = 6.7432 Å
α = 109.06°, β = 90.00°, γ = 90.00°
Closest atoms and distances in Å follow each position.
Fractional coordinates of all 6 atoms:
1 Np 0.0000 0.0000 0.0000  8 V 2.58-2.68
2 V 0.0000 0.6746 0.3492  8 V 2.57-2.70
3 V 0.0000 0.3254 0.6508  8 V 2.57-2.70
4 V 0.5000 0.5000 0.0000  4 Np 2.68, 4 V 2.70
5 V 0.5000 0.1631 0.3262  6 V 2.57-2.68, 2 Np 2.58
6 V 0.5000 0.8369 0.6738  6 V 2.57-2.68, 2 Np 2.58

Output
D(E_F): 8.27 states/eV/f.u.
Formation enthalpy at 0 K: 0.13 eV per atom
Symmetry: Cmmm, No. 65
Magnetic moment: 0.195 μB/atom


(5)
Compound: NpV3
Source: Alexandria via LeMat-Bulk
Functional: PBE
Structure: optimized geometry

a = 2.5268 Å, b = 5.0588 Å, c = 5.3685 Å
α = 118.11°, β = 103.61°, γ = 90.00°
Closest atoms and distances in Å follow each position.
Fractional coordinates of all 4 atoms:
1 Np 0.0000 0.0421 0.0000  4 V 2.45-2.73, 2 Np 2.53
2 V 0.2329 0.5138 0.4658  1 Np 2.45, 3 V 2.53-2.68
3 V 0.5000 0.5628 0.0000  4 V 2.53-2.68, 2 Np 2.73
4 V 0.7671 0.0480 0.5342  1 Np 2.45, 3 V 2.53-2.68

Output
D(E_F): 6.76 states/eV/f.u.
Formation enthalpy at 0 K: 0.25 eV per atom
Symmetry: Imm2, No. 44
Magnetic moment: 0.000 μB/atom


(6)
Compound: NpVZn4
Source: Alexandria via LeMat-Bulk
Functional: PBE
Structure: optimized geometry

a = 5.2203 Å, b = 5.2203 Å, c = 5.2203 Å
α = 60.00°, β = 60.00°, γ = 60.00°
Closest atoms and distances in Å follow each position.
Fractional coordinates of all 6 atoms:
1 Np 0.2500 0.2500 0.2500  12 Zn 3.06, 4 V 3.20
2 Zn 0.6259 0.6259 0.1223  6 Zn 2.59-2.63
3 Zn 0.6259 0.1223 0.6259  6 Zn 2.59-2.63
4 Zn 0.6259 0.6259 0.6259  6 Zn 2.59-2.63
5 Zn 0.1223 0.6259 0.6259  6 Zn 2.59-2.63
6 V 0.0000 0.0000 0.0000  12 Zn 3.06, 4 Np 3.20

Output
D(E_F): 4.31 states/eV/f.u.
Formation enthalpy at 0 K: 0.11 eV per atom
Symmetry: F-43m, No. 216
Magnetic moment: 1.032 μB/atom


(7)
Compound: ZrNpV2
Source: Alexandria via LeMat-Bulk
Functional: PBE
Structure: optimized geometry

a = 3.2137 Å, b = 3.2137 Å, c = 6.7471 Å
α = 90.00°, β = 90.00°, γ = 90.00°
Closest atoms and distances in Å follow each position.
Fractional coordinates of all 4 atoms:
1 Np 0.5000 0.5000 0.0000  8 V 2.69
2 Zr 0.5000 0.5000 0.5000  8 V 2.99, 4 Zr 3.21
3 V 0.0000 0.0000 0.7879  4 Np 2.69, 1 V 2.86, 4 Zr 2.99
4 V 0.0000 0.0000 0.2121  4 Np 2.69, 1 V 2.86, 4 Zr 2.99

Output
D(E_F): 6.18 states/eV/f.u.
Formation enthalpy at 0 K: 0.26 eV per atom
Symmetry: P4/mmm, No. 123
Magnetic moment: 0.392 μB/atom


(8)
Compound: ZrNpV4
Source: Alexandria via LeMat-Bulk
Functional: PBE
Structure: optimized geometry

a = 5.1967 Å, b = 5.1967 Å, c = 5.1967 Å
α = 60.00°, β = 60.00°, γ = 60.00°
Closest atoms and distances in Å follow each position.
Fractional coordinates of all 6 atoms:
1 Np 0.2500 0.2500 0.2500  12 V 3.04, 4 Zr 3.18
2 Zr 0.0000 0.0000 0.0000  12 V 3.05, 4 Np 3.18
3 V 0.6241 0.6241 0.1277  6 V 2.58-2.62
4 V 0.6241 0.1277 0.6241  6 V 2.58-2.62
5 V 0.6241 0.6241 0.6241  6 V 2.58-2.62
6 V 0.1277 0.6241 0.6241  6 V 2.58-2.62

Output
D(E_F): 12.03 states/eV/f.u.
Formation enthalpy at 0 K: 0.24 eV per atom
Symmetry: F-43m, No. 216
Magnetic moment: 0.512 μB/atom


(9)
Compound: NpW4
Source: Alexandria via LeMat-Bulk
Functional: PBE
Structure: optimized geometry

a = 4.7054 Å, b = 4.7054 Å, c = 4.7054 Å
α = 90.00°, β = 90.00°, γ = 90.00°
Closest atoms and distances in Å follow each position.
Fractional coordinates of all 5 atoms:
1 Np 0.5000 0.5000 0.5000  6 W 2.35
2 W 0.0000 0.0000 0.0000  12 W 3.33
3 W 0.5000 0.0000 0.5000  2 Np 2.35
4 W 0.0000 0.5000 0.5000  2 Np 2.35
5 W 0.5000 0.5000 0.0000  2 Np 2.35

Output
D(E_F): 6.03 states/eV/f.u.
Formation enthalpy at 0 K: 2.36 eV per atom
Symmetry: Pm-3m, No. 221
Magnetic moment: 0.000 μB/atom


(10)
Compound: Np2W
Source: Alexandria via LeMat-Bulk
Functional: PBE
Structure: optimized geometry

a = 3.2871 Å, b = 3.2871 Å, c = 5.4597 Å
α = 107.52°, β = 107.52°, γ = 90.00°
Closest atoms and distances in Å follow each position.
Fractional coordinates of all 3 atoms:
1 Np 0.6887 0.6887 0.3774  4 Np 2.62
2 Np 0.3113 0.3113 0.6226  4 Np 2.62
3 W 0.0000 0.0000 0.0000  10 Np 2.98-3.08, 4 W 3.29

Output
D(E_F): 8.05 states/eV/f.u.
Formation enthalpy at 0 K: 0.34 eV per atom
Symmetry: I4/mmm, No. 139
Magnetic moment: 0.000 μB/atom


(11)
Compound: Np4W
Source: Alexandria via LeMat-Bulk
Functional: PBE
Structure: optimized geometry

a = 5.2475 Å, b = 5.2475 Å, c = 5.2475 Å
α = 90.00°, β = 90.00°, γ = 90.00°
Closest atoms and distances in Å follow each position.
Fractional coordinates of all 5 atoms:
1 Np 0.0000 0.0000 0.0000  12 Np 3.71
2 Np 0.5000 0.0000 0.5000  2 W 2.62
3 Np 0.0000 0.5000 0.5000  2 W 2.62
4 Np 0.5000 0.5000 0.0000  2 W 2.62
5 W 0.5000 0.5000 0.5000  6 Np 2.62

Output
D(E_F): 37.08 states/eV/f.u.
Formation enthalpy at 0 K: 1.52 eV per atom
Symmetry: Pm-3m, No. 221
Magnetic moment: 1.415 μB/atom


(12)
Compound: NpZn4W
Source: Alexandria via LeMat-Bulk
Functional: PBE
Structure: optimized geometry

a = 5.1809 Å, b = 5.1809 Å, c = 5.1809 Å
α = 60.00°, β = 60.00°, γ = 60.00°
Closest atoms and distances in Å follow each position.
Fractional coordinates of all 6 atoms:
1 Np 0.2500 0.2500 0.2500  12 Zn 3.04, 4 W 3.17
2 Zn 0.6261 0.6261 0.1218  6 Zn 2.57-2.61
3 Zn 0.6261 0.1218 0.6261  6 Zn 2.57-2.61
4 Zn 0.6261 0.6261 0.6261  6 Zn 2.57-2.61
5 Zn 0.1218 0.6261 0.6261  6 Zn 2.57-2.61
6 W 0.0000 0.0000 0.0000  12 Zn 3.04, 4 Np 3.17

Output
D(E_F): 10.05 states/eV/f.u.
Formation enthalpy at 0 K: 0.26 eV per atom
Symmetry: F-43m, No. 216
Magnetic moment: 0.663 μB/atom